LaPrIn2: optimized geometry, PBE-GGA.

Unit cell a=3.909 b=3.909 c=10.209 alpha=78.96 beta=78.96 gamma=60.00
Positions (direct):
Pr  0.500  0.500  0.500
In  0.751  0.751  0.747
In  0.249  0.249  0.253
La  0.000  0.000  0.000


La14PrIn: optimized geometry, PBE-GGA.

Unit cell a=7.355 b=7.355 c=10.407 alpha=90.00 beta=90.00 gamma=90.07
Positions (direct):
La  0.375  0.625  0.500
La  0.875  0.125  0.500
La  0.874  0.625  0.000
La  0.875  0.625  0.500
La  0.375  0.126  0.000
La  0.375  0.125  0.500
La  0.618  0.868  0.756
La  0.618  0.868  0.244
La  0.132  0.382  0.756
La  0.132  0.382  0.244
La  0.132  0.868  0.756
La  0.132  0.868  0.244
La  0.618  0.382  0.756
La  0.618  0.382  0.244
Pr  0.875  0.125  0.000
In  0.375  0.625  0.000


La9PrIn2: optimized geometry, PBE-GGA.

Unit cell a=5.113 b=5.113 c=15.534 alpha=90.00 beta=90.00 gamma=90.00
Positions (direct):
La  0.500  0.500  0.000
La  0.500  0.500  0.340
La  0.500  0.500  0.660
La  0.500  0.000  0.174
La  0.500  0.000  0.500
La  0.500  0.000  0.826
La  0.000  0.500  0.174
La  0.000  0.500  0.500
La  0.000  0.500  0.826
Pr  0.000  0.000  0.000
In  0.000  0.000  0.337
In  0.000  0.000  0.663


La3PrIn3: optimized geometry, PBE-GGA.

Unit cell a=9.767 b=9.767 c=9.767 alpha=90.00 beta=90.00 gamma=90.00
Positions (direct):
La  0.827  0.327  0.173
La  0.927  0.927  0.927
La  0.826  0.674  0.326
La  0.173  0.827  0.327
La  0.174  0.174  0.174
La  0.326  0.826  0.674
La  0.073  0.427  0.573
La  0.327  0.173  0.827
La  0.674  0.326  0.826
La  0.673  0.673  0.673
La  0.573  0.073  0.427
La  0.427  0.573  0.073
Pr  0.077  0.577  0.923
Pr  0.923  0.077  0.577
Pr  0.423  0.423  0.423
Pr  0.577  0.923  0.077
In  0.753  0.627  0.999
In  0.873  0.001  0.253
In  0.999  0.753  0.627
In  0.127  0.501  0.247
In  0.247  0.127  0.501
In  0.253  0.873  0.001
In  0.001  0.253  0.873
In  0.373  0.499  0.747
In  0.501  0.247  0.127
In  0.627  0.999  0.753
In  0.747  0.373  0.499
In  0.499  0.747  0.373


| no. | ΔH_f (0 K) (eV per atom) |
| --- | --- |
| 1 | -0.305 |
| 2 | -0.064 |
| 3 | -0.188 |
| 4 | -0.364 |